[1]
VASP calculation (SCAN) on a PBEsol-optimized structure of ScSbAs2N.

```
ScSbAs2N
1.0
-0.337 4.272 0.307
-4.413 -0.422 1.031
1.055 -0.234 4.422
Sc Sb As N
1 1 2 1
direct
0.500 0.000 0.000
0.500 0.500 0.500
0.000 0.000 0.500
0.000 0.500 0.000
0.000 0.000 0.000
```

Output
E, eV per atom: -20.309
Total magnetic moment, μB/f.u.: 0.000
Formation energy without anion corrections, eV per atom: -0.0751

[2]
VASP calculation (SCAN) on a PBEsol-optimized structure of Ta2SbAsN.

```
Ta2SbAsN
1.0
-2.330 2.361 -1.687
-3.457 -3.475 -0.090
-1.632 1.511 4.369
Sb As N Ta
1 1 1 2
direct
0.500 0.500 0.500
0.000 0.000 0.000
0.500 0.000 0.000
0.000 0.000 0.500
0.000 0.500 0.000
```

Output
E, eV per atom: -38.941
Total magnetic moment, μB/f.u.: 0.000
Formation energy without anion corrections, eV per atom: 1.0409

[3]
VASP calculation (SCAN) on a PBEsol-optimized structure of SbTe2AsN.

```
SbTe2AsN
1.0
-2.633 -0.460 -2.544
3.891 -1.107 -3.826
-0.286 -5.412 1.276
Sb As Te N
1 1 2 1
direct
0.500 0.500 0.500
0.000 0.000 0.000
0.000 0.000 0.500
0.000 0.500 0.000
0.500 0.000 0.000
```

Output
E, eV per atom: -27.514
Total magnetic moment, μB/f.u.: 0.609
Formation energy without anion corrections, eV per atom: 0.7345

The lowest formation energy without anion corrections belongs to which entry?
ScSbAs2N

Please write out number 3 again, unchanged.
VASP calculation (SCAN) on a PBEsol-optimized structure of SbTe2AsN.

```
SbTe2AsN
1.0
-2.633 -0.460 -2.544
3.891 -1.107 -3.826
-0.286 -5.412 1.276
Sb As Te N
1 1 2 1
direct
0.500 0.500 0.500
0.000 0.000 0.000
0.000 0.000 0.500
0.000 0.500 0.000
0.500 0.000 0.000
```

Output
E, eV per atom: -27.514
Total magnetic moment, μB/f.u.: 0.609
Formation energy without anion corrections, eV per atom: 0.7345